Sc4AgIr3 PBE relaxed; space-group type = R-3m, No. 166; N(E_F) = 4.20 states/eV/f.u.; energy relative to the elements = -845 meV per atom; crystal system = trigonal
1.0
-0.004 3.540 2.983
-0.368 -0.803 4.544
7.408 0.472 3.041
Sc Ag Ir
4 1 3
direct
0.622 0.622 0.135 Sc
0.128 0.128 0.617 Sc
0.378 0.378 0.865 Sc
0.872 0.872 0.383 Sc
0.000 0.000 0.000 Ag
0.500 0.500 0.500 Ir
0.750 0.750 0.750 Ir
0.250 0.250 0.250 Ir

Sc8Ag2Ir PBE relaxed; E above lowest polymorph = 0.0000 eV/atom; space-group type = C2/m, No. 12; N(E_F) = 7.25 states/eV/f.u.; energy relative to the elements = -324 meV per atom; crystal system = monoclinic
1.0
-4.640 -1.299 0.598
1.427 -2.404 5.855
0.244 8.374 0.370
Sc Ir Ag
8 1 2
direct
0.662 0.960 0.323 Sc
0.406 0.566 0.811 Sc
0.806 0.710 0.612 Sc
0.338 0.040 0.677 Sc
0.975 0.209 0.949 Sc
0.594 0.434 0.189 Sc
0.194 0.290 0.388 Sc
0.025 0.791 0.051 Sc
0.500 0.000 0.000 Ir
0.182 0.698 0.363 Ag
0.818 0.302 0.637 Ag

ScAg2Ir PBE relaxed; E above lowest polymorph = 0.6151 eV/atom; space-group type = Cmmm, No. 65; N(E_F) = 5.07 states/eV/f.u.; energy relative to the elements = 316 meV per atom; crystal system = orthorhombic
1.0
-2.740 -0.231 -0.585
1.630 -0.161 -2.285
0.579 -9.630 1.090
Ir Ag Sc
1 2 1
direct
0.500 0.500 0.250 Ir
0.000 0.000 0.005 Ag
0.000 0.000 0.495 Ag
0.500 0.500 0.750 Sc

ScAgIr3 PBE relaxed; E above lowest polymorph = 0.0000 eV/atom; space-group type = Pm-3m, No. 221; N(E_F) = 6.13 states/eV/f.u.; energy relative to the elements = 1495 meV per atom; crystal system = cubic
1.0
4.689 0.000 0.000
0.000 4.689 0.000
0.000 0.000 4.689
Ir Sc Ag
3 1 1
direct
0.000 0.000 0.500 Ir
0.000 0.500 0.000 Ir
0.500 0.000 0.000 Ir
0.000 0.000 0.000 Sc
0.500 0.500 0.500 Ag